Material: ZnFe2Se
Method: DFT, PBE
State: relaxed

Summary:
Energy relative to the elements, uncorrected (eV/atom): 0.22
Total magnetic moment (Bohr magnetons per cell): 5.34
Total DFT energy (no corrections) (eV/atom): -5.20

Cell: 3.209 3.209 5.488 Å, 90.00 90.00 90.00°
Space group P4/mmm (No. 123)
Unique sites:
Zn: 0.000 0.000 0.000 [1 per cell]
Fe: 0.500 0.500 0.236 [2 per cell]
Se: 0.000 0.000 0.500 [1 per cell]